1.
DFT (PBE) results for crystalline CeTm2Lu at its relaxed geometry.

Geometry as POSCAR:
```
CeTm2Lu
1.0
5.570 0.000 0.000
2.785 4.824 0.000
2.785 1.608 4.548
Lu Tm Ce
1 2 1
Direct
0.000 0.000 0.000 Lu
0.750 0.750 0.750 Tm
0.250 0.250 0.250 Tm
0.500 0.500 0.500 Ce
```

Summary:
* ΔH_f (0 K): 0.153 eV/atom
* uncorrected energy: -18.78 eV/f.u.
* energy above the lowest structure with this stoichiometry: 0.089 eV/atom
* D(E_F): 8.8 states/eV/cell

2.
DFT (PBE) results for crystalline CeTm2Lu at its relaxed geometry.

Geometry as POSCAR:
```
CeTm2Lu
1.0
4.934 0.000 0.000
0.000 4.916 0.000
0.000 0.000 4.916
Ce Tm Lu
1 2 1
Direct
0.500 0.500 0.500 Ce
0.000 0.000 0.500 Tm
0.000 0.500 0.000 Tm
0.500 0.000 0.000 Lu
```

Summary:
* ΔH_f (0 K): 0.065 eV/atom
* uncorrected energy: -19.14 eV/f.u.
* energy above the lowest structure with this stoichiometry: 0.002 eV/atom
* D(E_F): 7.0 states/eV/cell

3.
DFT (PBE) results for crystalline Ce2TmLu at its relaxed geometry.

Geometry as POSCAR:
```
Ce2TmLu
1.0
3.450 0.000 0.000
1.725 2.988 0.000
1.725 0.996 11.330
Ce Tm Lu
2 1 1
Direct
0.250 0.250 0.249 Ce
0.750 0.750 0.751 Ce
0.500 0.500 0.500 Tm
0.000 0.000 0.000 Lu
```

Summary:
* ΔH_f (0 K): 0.080 eV/atom
* uncorrected energy: -20.54 eV/f.u.
* energy above the lowest structure with this stoichiometry: 0.000 eV/atom
* D(E_F): 10.2 states/eV/cell

The lowest D(E_F) belongs to which entry?
number 2